A plane-wave DFT calculation with GGA-PBE was carried out for a relaxed Li5Th3H12 crystal.

Calculated total energy   -79.24 eV/f.u.
DOS(E_F)   0.258 states/eV/atom
Mass density   5.3 g cm⁻³

Geometry as CIF:
```
data_Li5Th3H12
_chemical_formula_sum 'Li40 Th24 H96'
_cell_length_a 12.2775
_cell_length_b 12.2775
_cell_length_c 12.2775
_cell_angle_alpha 90.00
_cell_angle_beta 90.00
_cell_angle_gamma 90.00
_space_group_name_H-M_alt 'I a -3 d'
_space_group_IT_number 230
_space_group_name_Hall '-I 4bd 2c 3'
loop_
_atom_site_label
_atom_site_type_symbol
_atom_site_fract_x
_atom_site_fract_y
_atom_site_fract_z
Li1 Li 0.0000 0.0000 0.0000
Li2 Li 0.0000 0.2500 0.3750
Th1 Th 0.0000 0.2500 0.1250
H1 H 0.0263 0.0632 0.6545
```